(1)
A relaxed structure of NaInF3. Source: Alexandria via LeMat-Bulk, functional PBE.

Results
E_form (uncorrected): -2.46 eV/atom
calculated volume: 16.40 Å³ per atom

a b c (Å): 3.418 6.235 8.236
angles (deg): 74.05 87.65 102.30
Positions (direct):
F (0.224, 0.362, 0.645)
F (0.597, 0.178, 0.326)
F (0.887, 0.726, 0.456)
F (0.261, 0.543, 0.137)
F (0.399, 0.813, 0.695)
F (0.086, 0.091, 0.088)
Na (0.046, 0.093, 0.512)
Na (0.438, 0.811, 0.270)
In (0.694, 0.351, 0.065)
In (0.791, 0.553, 0.718)

***

(2)
A relaxed structure of Pm3Y5Sc. Source: Alexandria via LeMat-Bulk, functional PBE.

Results
calculated volume: 32.29 Å³ per atom
E: -101.10 eV per cell

a b c (Å): 8.678 8.678 9.860
angles (deg): 116.11 116.11 90.00
Positions (direct):
Pm (0.882, 0.618, 0.000)
Pm (0.250, 0.250, 0.500)
Pm (0.618, 0.118, 0.000)
Pm (0.382, 0.882, 0.000)
Pm (0.118, 0.382, 0.000)
Pm (0.750, 0.750, 0.500)
Y (0.434, 0.345, 0.280)
Y (0.566, 0.655, 0.720)
Y (0.345, 0.845, 0.280)
Y (0.066, 0.566, 0.720)
Y (0.845, 0.934, 0.280)
Y (0.155, 0.066, 0.720)
Y (0.500, 0.500, 0.000)
Y (0.000, 0.000, 0.000)
Y (0.934, 0.434, 0.280)
Y (0.655, 0.155, 0.720)
Sc (0.750, 0.250, 0.500)
Sc (0.250, 0.750, 0.500)

***

(3)
A relaxed structure of Li2Ca2Al15. Source: Alexandria via LeMat-Bulk, functional PBE.

Results
calculated volume: 18.73 Å³ per atom
E: -66.29 eV per cell

a b c (Å): 7.135 7.135 7.135
angles (deg): 83.04 83.04 83.04
Positions (direct):
Al (0.500, 0.000, 0.000)
Al (0.153, 0.649, 0.649)
Al (0.293, 0.000, 0.707)
Al (0.351, 0.351, 0.847)
Al (0.000, 0.500, 0.000)
Al (0.847, 0.351, 0.351)
Al (0.707, 0.000, 0.293)
Al (0.351, 0.847, 0.351)
Al (0.707, 0.293, 0.000)
Al (0.649, 0.649, 0.153)
Al (0.000, 0.707, 0.293)
Al (0.000, 0.293, 0.707)
Al (0.000, 0.000, 0.500)
Al (0.649, 0.153, 0.649)
Al (0.293, 0.707, 0.000)
Li (0.901, 0.901, 0.901)
Li (0.099, 0.099, 0.099)
Ca (0.654, 0.654, 0.654)
Ca (0.346, 0.346, 0.346)

***

(4)
A relaxed structure of HfSc2Tl2Se6. Source: Alexandria via LeMat-Bulk, functional PBE.

Results
E_form (uncorrected): -1.30 eV/atom
calculated volume: 28.15 Å³ per atom

a b c (Å): 6.741 6.741 8.191
angles (deg): 97.97 97.97 120.03
Positions (direct):
Se (0.606, 0.933, 0.306)
Se (0.394, 0.067, 0.694)
Se (0.264, 0.264, 0.306)
Se (0.933, 0.606, 0.306)
Se (0.067, 0.394, 0.694)
Se (0.736, 0.736, 0.694)
Tl (0.167, 0.833, 0.000)
Tl (0.833, 0.167, 0.000)
Sc (0.332, 0.668, 0.500)
Sc (0.668, 0.332, 0.500)
Hf (0.000, 0.000, 0.500)